First-principles (PBE) data for a relaxed structure of PmSmDy2Se4, as listed in Alexandria via LeMat-Bulk.

Unit cell a=4.0711 b=7.2670 c=7.1128 alpha=71.24 beta=90.00 gamma=90.00
Closest atoms and distances in Å follow each position.
Fractional coordinates of all 8 atoms:
1 Pm 0.5000 0.5000 0.0000  6 Se 2.97
2 Sm 0.0000 0.5000 0.5000  6 Se 2.96
3 Dy 0.0000 0.0000 0.0000  6 Se 2.88
4 Dy 0.5000 0.0000 0.5000  6 Se 2.87-2.88
5 Se 0.0000 0.7609 0.7454  3 Dy 2.87-2.88, 1 Sm 2.96, 2 Pm 2.97
6 Se 0.0000 0.2391 0.2546  3 Dy 2.87-2.88, 1 Sm 2.96, 2 Pm 2.97
7 Se 0.5000 0.7602 0.2474  3 Dy 2.88, 2 Sm 2.96, 1 Pm 2.97
8 Se 0.5000 0.2398 0.7526  3 Dy 2.88, 2 Sm 2.96, 1 Pm 2.97

Properties
DOS at the Fermi energy	4.40	states/eV/f.u.
E_form (uncorrected)	-1789	meV/atom
space-group type	P2/m, No. 10
spin magnetization	0.000	μB/f.u.

---

First-principles (PBE) data for a relaxed structure of PmSm2DySe5, as listed in Alexandria via LeMat-Bulk.

Unit cell a=5.1456 b=5.1456 c=10.9505 alpha=90.00 beta=90.00 gamma=90.00
Closest atoms and distances in Å follow each position.
Fractional coordinates of all 9 atoms:
1 Pm 0.0000 0.0000 0.0000  2 Se 2.73
2 Sm 0.5000 0.5000 0.3363  4 Se 3.14
3 Sm 0.5000 0.5000 0.6637  4 Se 3.14
4 Dy 0.0000 0.0000 0.5000  6 Se 2.57-2.74
5 Se 0.0000 0.5000 0.5000  2 Dy 2.57
6 Se 0.5000 0.0000 0.5000  2 Dy 2.57
7 Se 0.0000 0.0000 0.7504  1 Pm 2.73, 1 Dy 2.74
8 Se 0.0000 0.0000 0.2496  1 Pm 2.73, 1 Dy 2.74
9 Se 0.5000 0.5000 0.0000  4 Pm 3.64, 2 Sm 3.68

Properties
DOS at the Fermi energy	5.45	states/eV/f.u.
E_form (uncorrected)	-1224	meV/atom
space-group type	P4/mmm, No. 123
spin magnetization	0.013	μB/f.u.

---

First-principles (PBE) data for a relaxed structure of PmSm2Dy3Se6, as listed in Alexandria via LeMat-Bulk.

Unit cell a=7.1286 b=7.1286 c=7.2041 alpha=99.46 beta=99.46 gamma=120.31
Closest atoms and distances in Å follow each position.
Fractional coordinates of all 12 atoms:
1 Pm 0.0000 0.0000 0.0000  6 Se 2.96-2.97
2 Sm 0.3335 0.6665 0.0000  6 Se 2.95-2.96
3 Sm 0.6665 0.3335 0.0000  6 Se 2.95-2.96
4 Dy 0.1659 0.8341 0.5000  6 Se 2.88
5 Dy 0.8341 0.1659 0.5000  6 Se 2.88
6 Dy 0.5000 0.5000 0.5000  6 Se 2.87-2.89
7 Se 0.9133 0.5785 0.7400  3 Dy 2.88-2.89, 2 Sm 2.95-2.96, 1 Pm 2.97
8 Se 0.7519 0.7519 0.2595  3 Dy 2.87-2.88, 2 Sm 2.95, 1 Pm 2.96
9 Se 0.0867 0.4215 0.2600  3 Dy 2.88-2.89, 2 Sm 2.95-2.96, 1 Pm 2.97
10 Se 0.5785 0.9133 0.7400  3 Dy 2.88-2.89, 2 Sm 2.95-2.96, 1 Pm 2.97
11 Se 0.2481 0.2481 0.7405  3 Dy 2.87-2.88, 2 Sm 2.95, 1 Pm 2.96
12 Se 0.4215 0.0867 0.2600  3 Dy 2.88-2.89, 2 Sm 2.95-2.96, 1 Pm 2.97

Properties
DOS at the Fermi energy	5.70	states/eV/f.u.
E_form (uncorrected)	-1790	meV/atom
space-group type	C2/m, No. 12
spin magnetization	0.000	μB/f.u.

---

First-principles (PBE) data for a relaxed structure of PmSm4DySe8, as listed in Alexandria via LeMat-Bulk.

Unit cell a=8.5757 b=8.5757 c=8.5794 alpha=60.01 beta=60.01 gamma=60.00
Closest atoms and distances in Å follow each position.
Fractional coordinates of all 14 atoms:
1 Pm 0.0009 0.0009 0.9972  6 Se 2.96-2.97
2 Sm 0.6251 0.6251 0.1248  4 Se 2.79
3 Sm 0.0007 0.4976 0.5009  6 Se 2.95-2.96
4 Sm 0.4976 0.0007 0.5009  6 Se 2.95-2.96
5 Sm 0.0007 0.0007 0.5009  6 Se 2.95-2.96
6 Dy 0.3748 0.3748 0.8757  4 Se 2.73-2.74
7 Se 0.2458 0.7650 0.7433  1 Dy 2.73, 2 Sm 2.96, 1 Pm 2.97
8 Se 0.7650 0.2458 0.7433  1 Dy 2.73, 2 Sm 2.96, 1 Pm 2.97
9 Se 0.2458 0.2458 0.7433  1 Dy 2.73, 2 Sm 2.96, 1 Pm 2.97
10 Se 0.2445 0.2445 0.2664  1 Dy 2.74, 3 Sm 2.96
11 Se 0.7570 0.2269 0.2591  3 Sm 2.79-2.95, 1 Pm 2.96
12 Se 0.2269 0.7570 0.2591  3 Sm 2.79-2.95, 1 Pm 2.96
13 Se 0.7570 0.7570 0.2591  3 Sm 2.79-2.95, 1 Pm 2.96
14 Se 0.7579 0.7579 0.7262  4 Sm 2.79-2.95

Properties
DOS at the Fermi energy	8.70	states/eV/f.u.
E_form (uncorrected)	-1727	meV/atom
space-group type	R3m, No. 160
spin magnetization	0.000	μB/f.u.

---

First-principles (PBE) data for a relaxed structure of PmSmDy4Se8, as listed in Alexandria via LeMat-Bulk.

Unit cell a=8.4658 b=8.4658 c=8.5008 alpha=60.14 beta=60.14 gamma=60.00
Closest atoms and distances in Å follow each position.
Fractional coordinates of all 14 atoms:
1 Pm 0.3739 0.3739 0.8783  4 Se 2.79-2.81
2 Sm 0.9995 0.9995 0.0015  6 Se 2.94-2.96
3 Dy 0.6257 0.6257 0.1228  4 Se 2.73-2.75
4 Dy 0.9995 0.5019 0.4992  6 Se 2.88-2.90
5 Dy 0.5019 0.9995 0.4992  6 Se 2.88-2.90
6 Dy 0.9995 0.9995 0.4992  6 Se 2.88-2.90
7 Se 0.2443 0.7775 0.7339  1 Pm 2.79, 2 Dy 2.88, 1 Sm 2.94
8 Se 0.7775 0.2443 0.7339  1 Pm 2.79, 2 Dy 2.88, 1 Sm 2.94
9 Se 0.2443 0.2443 0.7339  1 Pm 2.79, 2 Dy 2.88, 1 Sm 2.94
10 Se 0.2391 0.2391 0.2827  1 Pm 2.81, 3 Dy 2.88
11 Se 0.7530 0.2310 0.2629  3 Dy 2.73-2.90, 1 Sm 2.96
12 Se 0.2310 0.7530 0.2629  3 Dy 2.73-2.90, 1 Sm 2.96
13 Se 0.7530 0.7530 0.2629  3 Dy 2.73-2.90, 1 Sm 2.96
14 Se 0.7578 0.7578 0.7267  4 Dy 2.75-2.90

Properties
DOS at the Fermi energy	8.75	states/eV/f.u.
E_form (uncorrected)	-1719	meV/atom
space-group type	R3m, No. 160
spin magnetization	0.000	μB/f.u.

---

First-principles (PBE) data for a relaxed structure of PmSm2DySe6, as listed in Alexandria via LeMat-Bulk.

Unit cell a=7.3510 b=7.3509 c=7.8160 alpha=61.94 beta=61.94 gamma=59.99
Closest atoms and distances in Å follow each position.
Fractional coordinates of all 10 atoms:
1 Pm 0.8156 0.8157 0.5530  6 Se 2.91-2.99
2 Sm 0.5176 0.5175 0.4474  6 Se 2.91-2.98
3 Sm 0.0154 0.0154 0.9538  6 Se 2.90-2.98
4 Dy 0.3185 0.3185 0.0445  6 Se 2.85-2.91
5 Se 0.6061 0.2167 0.2516  1 Dy 2.86, 2 Sm 2.91-2.98, 1 Pm 2.99
6 Se 0.2167 0.9255 0.2517  1 Dy 2.85, 2 Sm 2.91-2.98, 1 Pm 2.99
7 Se 0.9255 0.6061 0.2516  1 Dy 2.85, 2 Sm 2.91-2.98, 1 Pm 2.99
8 Se 0.4147 0.7142 0.7538  2 Sm 2.90-2.98, 1 Dy 2.91, 1 Pm 2.91
9 Se 0.7143 0.1172 0.7538  2 Sm 2.90-2.98, 1 Dy 2.91, 1 Pm 2.91
10 Se 0.1172 0.4147 0.7538  2 Sm 2.90-2.98, 1 Pm 2.91, 1 Dy 2.91

Properties
DOS at the Fermi energy	0.00	states/eV/f.u.
E_form (uncorrected)	-1846	meV/atom
space-group type	R3, No. 146
spin magnetization	0.000	μB/f.u.

---

First-principles (PBE) data for a relaxed structure of Pm4Sm3DySe8, as listed in Alexandria via LeMat-Bulk.

Unit cell a=8.3400 b=8.3565 c=8.3400 alpha=119.92 beta=120.00 gamma=90.00
Closest atoms and distances in Å follow each position.
Fractional coordinates of all 16 atoms:
1 Pm 0.5000 0.0000 0.0000  6 Se 3.00
2 Pm 0.5000 0.0000 0.5000  6 Se 2.96
3 Pm 0.0000 0.0000 0.0000  6 Se 2.96
4 Pm 0.0000 0.0000 0.5000  6 Se 2.96
5 Sm 0.5000 0.5000 0.0000  6 Se 2.94
6 Sm 0.5000 0.5000 0.5000  6 Se 2.94
7 Sm 0.0000 0.5000 0.5000  6 Se 2.94
8 Dy 0.0000 0.5000 0.0000  6 Se 2.90
9 Se 0.2458 0.7444 0.9985  1 Dy 2.90, 2 Sm 2.94, 3 Pm 2.96-3.00
10 Se 0.2460 0.7445 0.4919  1 Dy 2.90, 2 Sm 2.94, 3 Pm 2.96-3.00
11 Se 0.2508 0.2523 0.5015  3 Sm 2.94, 3 Pm 2.96
12 Se 0.7527 0.7444 0.9985  1 Dy 2.90, 2 Sm 2.94, 3 Pm 2.96-3.00
13 Se 0.2473 0.2556 0.0015  1 Dy 2.90, 2 Sm 2.94, 3 Pm 2.96-3.00
14 Se 0.7492 0.7477 0.4985  3 Sm 2.94, 3 Pm 2.96
15 Se 0.7540 0.2555 0.5081  1 Dy 2.90, 2 Sm 2.94, 3 Pm 2.96-3.00
16 Se 0.7542 0.2556 0.0015  1 Dy 2.90, 2 Sm 2.94, 3 Pm 2.96-3.00

Properties
DOS at the Fermi energy	11.03	states/eV/f.u.
E_form (uncorrected)	-1812	meV/atom
space-group type	R-3m, No. 166
spin magnetization	0.000	μB/f.u.

---

First-principles (PBE) data for a relaxed structure of Pm3Sm2DySe6, as listed in Alexandria via LeMat-Bulk.

Unit cell a=4.1511 b=8.3841 c=9.3163 alpha=103.13 beta=102.87 gamma=90.00
Closest atoms and distances in Å follow each position.
Fractional coordinates of all 12 atoms:
1 Pm 0.5000 0.5000 0.0000  6 Se 2.94-3.00
2 Pm 0.8311 0.1670 0.6622  6 Se 2.95-2.98
3 Pm 0.1689 0.8330 0.3378  6 Se 2.95-2.98
4 Sm 0.8323 0.6652 0.6645  6 Se 2.93-2.97
5 Sm 0.1677 0.3348 0.3355  6 Se 2.93-2.97
6 Dy 0.5000 0.0000 0.0000  6 Se 2.88-2.90
7 Se 0.3371 0.9174 0.6742  1 Dy 2.88, 2 Sm 2.95, 3 Pm 2.97
8 Se 0.6666 0.5816 0.3331  3 Sm 2.93, 3 Pm 2.94-2.95
9 Se 0.6629 0.0826 0.3258  1 Dy 2.88, 2 Sm 2.95, 3 Pm 2.97
10 Se 0.9999 0.2420 0.9997  2 Dy 2.90, 1 Sm 2.97, 3 Pm 2.98-3.00
11 Se 0.0001 0.7580 0.0003  2 Dy 2.90, 1 Sm 2.97, 3 Pm 2.98-3.00
12 Se 0.3335 0.4184 0.6669  3 Sm 2.93, 3 Pm 2.94-2.95

Properties
DOS at the Fermi energy	5.70	states/eV/f.u.
E_form (uncorrected)	-1815	meV/atom
space-group type	C2/m, No. 12
spin magnetization	0.000	μB/f.u.

---

First-principles (PBE) data for a relaxed structure of Pm4SmDySe8, as listed in Alexandria via LeMat-Bulk.

Unit cell a=8.6015 b=8.6015 c=8.5984 alpha=59.99 beta=59.99 gamma=60.00
Closest atoms and distances in Å follow each position.
Fractional coordinates of all 14 atoms:
1 Pm 0.6248 0.6248 0.1255  4 Se 2.80
2 Pm 0.0010 0.4970 0.5010  6 Se 2.96-2.97
3 Pm 0.4970 0.0010 0.5010  6 Se 2.96-2.97
4 Pm 0.0010 0.0010 0.5010  6 Se 2.96-2.97
5 Sm 0.0011 0.0011 0.9968  6 Se 2.95-2.96
6 Dy 0.3751 0.3751 0.8748  4 Se 2.73-2.74
7 Se 0.2444 0.7647 0.7466  1 Dy 2.74, 1 Sm 2.96, 2 Pm 2.97
8 Se 0.7647 0.2444 0.7466  1 Dy 2.74, 1 Sm 2.96, 2 Pm 2.97
9 Se 0.2444 0.2444 0.7466  1 Dy 2.74, 1 Sm 2.96, 2 Pm 2.97
10 Se 0.2454 0.2454 0.2639  1 Dy 2.73, 3 Pm 2.97
11 Se 0.7590 0.2255 0.2565  3 Pm 2.80-2.96, 1 Sm 2.95
12 Se 0.2255 0.7590 0.2565  3 Pm 2.80-2.96, 1 Sm 2.95
13 Se 0.7590 0.7590 0.2565  3 Pm 2.80-2.96, 1 Sm 2.95
14 Se 0.7578 0.7578 0.7266  4 Pm 2.80-2.96

Properties
DOS at the Fermi energy	8.73	states/eV/f.u.
E_form (uncorrected)	-1729	meV/atom
space-group type	R3m, No. 160
spin magnetization	0.000	μB/f.u.

---

First-principles (PBE) data for a relaxed structure of Pm3Sm3DySe8, as listed in Alexandria via LeMat-Bulk.

Unit cell a=8.3292 b=8.3299 c=8.3368 alpha=119.98 beta=90.00 gamma=120.00
Closest atoms and distances in Å follow each position.
Fractional coordinates of all 15 atoms:
1 Pm 0.0000 0.0000 0.0000  6 Se 2.95
2 Pm 0.0000 0.5000 0.0000  6 Se 2.95-2.96
3 Pm 0.5000 0.5000 0.0000  6 Se 2.95-2.96
4 Sm 0.5000 0.0000 0.5000  6 Se 2.94
5 Sm 0.5000 0.5000 0.5000  6 Se 2.94
6 Sm 0.0000 0.5000 0.5000  6 Se 2.94
7 Dy 0.0000 0.0000 0.5000  6 Se 2.92-2.93
8 Se 0.2507 0.5013 0.2520  3 Sm 2.94, 3 Pm 2.95
9 Se 0.7493 0.4987 0.7480  3 Sm 2.94, 3 Pm 2.95
10 Se 0.7518 0.5035 0.2534  1 Dy 2.93, 2 Sm 2.94, 2 Pm 2.96
11 Se 0.2482 0.4965 0.7466  1 Dy 2.93, 2 Sm 2.94, 2 Pm 2.96
12 Se 0.7521 0.0014 0.2531  1 Dy 2.92, 2 Sm 2.94, 2 Pm 2.95
13 Se 0.2479 0.9986 0.7469  1 Dy 2.92, 2 Sm 2.94, 2 Pm 2.95
14 Se 0.2493 0.0014 0.2531  1 Dy 2.92, 2 Sm 2.94, 2 Pm 2.95
15 Se 0.7507 0.9986 0.7469  1 Dy 2.92, 2 Sm 2.94, 2 Pm 2.95

Properties
DOS at the Fermi energy	6.79	states/eV/f.u.
E_form (uncorrected)	-1873	meV/atom
space-group type	R-3m, No. 166
spin magnetization	0.000	μB/f.u.

---

Question: The highest DOS at the Fermi energy belongs to which entry?
Answer: Pm4Sm3DySe8

---

Question: Which of these has the highest DOS at the Fermi energy?
Answer: Pm4Sm3DySe8